Entry 1:
DFT (PBE-GGA) results for a relaxed structure of Zn2FeCu.

- crystal system = monoclinic
- DFT total energy (eV per formula unit) = -14.89

Cell lengths 4.5399, 4.5399, 4.6576 Å; angles 98.57, 98.57, 33.32 degrees
Sites, in units of the cell vectors:
Zn1 0.0000 0.0000 0.0000
Zn2 0.2466 0.2466 0.7295
Fe1 0.7490 0.7490 0.2375
Cu1 0.4971 0.4971 0.4850

---

Entry 2:
DFT (PBE-GGA) results for a relaxed structure of SrMgTlCu.

- crystal system = cubic
- DFT total energy (eV per formula unit) = -9.97

Cell lengths 5.2169, 5.2169, 5.2169 Å; angles 60.00, 60.00, 60.00 degrees
Sites, in units of the cell vectors:
Sr1 0.0000 0.0000 0.0000
Mg1 0.5000 0.5000 0.5000
Tl1 0.7500 0.7500 0.7500
Cu1 0.2500 0.2500 0.2500

---

Entry 3:
DFT (PBE-GGA) results for a relaxed structure of LiMo2Se.

- crystal system = tetragonal
- DFT total energy (eV per formula unit) = -25.35
- raw formation energy (eV/atom) = 0.428

Cell lengths 3.3256, 3.3256, 5.4885 Å; angles 90.00, 90.00, 90.00 degrees
Sites, in units of the cell vectors:
Li1 0.0000 0.0000 0.0000
Mo1 0.5000 0.5000 0.2168
Mo2 0.5000 0.5000 0.7832
Se1 0.0000 0.0000 0.5000

---

Entry 4:
DFT (PBE-GGA) results for a relaxed structure of NaAcHgRh.

- crystal system = cubic
- DFT total energy (eV per formula unit) = -13.80

Cell lengths 5.2544, 5.2544, 5.2544 Å; angles 60.00, 60.00, 60.00 degrees
Sites, in units of the cell vectors:
Na1 0.0000 0.0000 0.0000
Ac1 0.5000 0.5000 0.5000
Hg1 0.2500 0.2500 0.2500
Rh1 0.7500 0.7500 0.7500

---

Entry 5:
DFT (PBE-GGA) results for a relaxed structure of BaInSnPd3.

- crystal system = orthorhombic
- DFT total energy (eV per formula unit) = -27.04

Cell lengths 7.4655, 7.4655, 6.5727 Å; angles 90.00, 90.00, 123.22 degrees
Sites, in units of the cell vectors:
Ba1 0.2109 0.7891 0.7500
Ba2 0.7891 0.2109 0.2500
In1 0.4802 0.5198 0.7500
In2 0.5198 0.4802 0.2500
Sn1 0.1163 0.8837 0.2500
Sn2 0.8837 0.1163 0.7500
Pd1 0.2052 0.2052 0.0000
Pd2 0.2052 0.2052 0.5000
Pd3 0.3152 0.6848 0.2500
Pd4 0.6848 0.3152 0.7500
Pd5 0.7948 0.7948 0.0000
Pd6 0.7948 0.7948 0.5000

---

Entry 6:
DFT (PBE-GGA) results for a relaxed structure of TaAs2BrN.

- crystal system = tetragonal
- DFT total energy (eV per formula unit) = -25.48
- raw formation energy (eV/atom) = 1.134

Cell lengths 4.9842, 4.9842, 5.3540 Å; angles 90.00, 90.00, 90.00 degrees
Sites, in units of the cell vectors:
Ta1 0.0000 0.0000 0.0000
As1 0.0000 0.5000 0.0000
As2 0.5000 0.0000 0.0000
Br1 0.0000 0.0000 0.5000
N1 0.5000 0.5000 0.5000

---

Entry 7:
DFT (PBE-GGA) results for a relaxed structure of Na4Np3ZnSe8.

- crystal system = trigonal
- DFT total energy (eV per formula unit) = -90.57
- raw formation energy (eV/atom) = -1.082

Cell lengths 8.4240, 8.4240, 8.4240 Å; angles 58.84, 58.84, 58.84 degrees
Sites, in units of the cell vectors:
Na1 0.0000 0.0000 0.0000
Na2 0.0000 0.5000 0.5000
Na3 0.5000 0.0000 0.5000
Na4 0.5000 0.5000 0.0000
Np1 0.0000 0.0000 0.5000
Np2 0.0000 0.5000 0.0000
Np3 0.5000 0.0000 0.0000
Zn1 0.5000 0.5000 0.5000
Se1 0.2439 0.2439 0.2439
Se2 0.2503 0.7366 0.7366
Se3 0.2634 0.2634 0.7497
Se4 0.2634 0.7497 0.2634
Se5 0.7366 0.2503 0.7366
Se6 0.7366 0.7366 0.2503
Se7 0.7497 0.2634 0.2634
Se8 0.7561 0.7561 0.7561

---

Entry 8:
DFT (PBE-GGA) results for a relaxed structure of Sm2BiO.

- crystal system = tetragonal
- DFT total energy (eV per formula unit) = -22.80
- raw formation energy (eV/atom) = -1.131

Cell lengths 3.3074, 3.3074, 7.8965 Å; angles 90.00, 90.00, 90.00 degrees
Sites, in units of the cell vectors:
Sm1 0.0000 0.0000 0.1980
Sm2 0.0000 0.0000 0.8020
Bi1 0.5000 0.5000 0.5000
O1 0.5000 0.5000 0.0000

---

Entry 9:
DFT (PBE-GGA) results for a relaxed structure of Nd2Dy4Er.

- crystal system = tetragonal
- DFT total energy (eV per formula unit) = -27.89

Cell lengths 9.4547, 9.4547, 9.4547 Å; angles 146.06, 146.06, 48.75 degrees
Sites, in units of the cell vectors:
Nd1 0.1237 0.1237 0.0000
Nd2 0.8763 0.8763 0.0000
Dy1 0.0000 0.5000 0.5000
Dy2 0.3238 0.3238 0.0000
Dy3 0.5000 0.0000 0.5000
Dy4 0.6762 0.6762 0.0000
Er1 0.5000 0.5000 0.0000

---

Entry 10:
DFT (PBE-GGA) results for a relaxed structure of Nd3InNi2.

- crystal system = orthorhombic
- DFT total energy (eV per formula unit) = -30.55

Cell lengths 4.3137, 9.5047, 7.3339 Å; angles 90.00, 90.00, 90.00 degrees
Sites, in units of the cell vectors:
Nd1 0.0000 0.0541 0.0000
Nd2 0.0000 0.9459 0.5000
Nd3 0.5000 0.2593 0.3909
Nd4 0.5000 0.3349 0.8693
Nd5 0.5000 0.6651 0.3693
Nd6 0.5000 0.7407 0.8909
In1 0.0000 0.4927 0.1289
In2 0.0000 0.5073 0.6289
Ni1 0.0000 0.2132 0.6540
Ni2 0.0000 0.7868 0.1540
Ni3 0.5000 0.0532 0.7174
Ni4 0.5000 0.9468 0.2174

---

> What is the DFT total energy in the fourth record?

-13.80 eV per formula unit

---

> Among the records above, which one has the highest DFT total energy?

SrMgTlCu